1.
DFT (PBE) results for a geometry-optimized BaMg5Hg7 structure.

Unit cell a=6.2047 b=7.7943 c=7.7943 alpha=82.92 beta=66.54 gamma=66.54
Fractional positions:
1 Ba 0.9967 0.0033 0.0033
2 Mg 0.4959 0.0056 0.4917
3 Mg 0.0068 0.0056 0.4917
4 Mg 0.4959 0.4917 0.0056
5 Mg 0.0068 0.4917 0.0056
6 Mg 0.7415 0.7585 0.7585
7 Hg 0.6473 0.3527 0.3527
8 Hg 0.3365 0.6635 0.6635
9 Hg 0.9914 0.3499 0.6674
10 Hg 0.9914 0.6674 0.3499
11 Hg 0.2669 0.2331 0.2331
12 Hg 0.5115 0.7895 0.1876
13 Hg 0.5115 0.1876 0.7895

energy	-1.175	eV per atom

=====

2.
DFT (PBE) results for a geometry-optimized Mn2H3 structure.

Unit cell a=4.5829 b=4.5829 c=4.4715 alpha=59.17 beta=59.17 gamma=60.00
Fractional positions:
1 H 0.0191 0.7500 0.7500
2 H 0.7500 0.4809 0.7500
3 H 0.4809 0.0191 0.7500
4 H 0.2500 0.5191 0.2500
5 H 0.5191 0.9809 0.2500
6 H 0.9809 0.2500 0.2500
7 Mn 0.8733 0.8733 0.3800
8 Mn 0.3733 0.3733 0.8800
9 Mn 0.1267 0.1267 0.6200
10 Mn 0.6267 0.6267 0.1200

energy	-5.638	eV per atom
ΔE to the lowest computed polymorph	0.000	eV per atom

=====

3.
DFT (PBE) results for a geometry-optimized Al2InN3 structure.

Unit cell a=5.6556 b=5.6556 c=5.6011 alpha=99.34 beta=99.34 gamma=120.22
Fractional positions:
1 Al 0.5931 0.4281 0.0071
2 Al 0.7569 0.2681 0.5078
3 Al 0.4281 0.5931 0.5071
4 Al 0.2681 0.7569 0.0078
5 In 0.0985 0.9231 0.5046
6 In 0.9231 0.0985 0.0046
7 N 0.0572 0.2602 0.4091
8 N 0.2602 0.0572 0.9091
9 N 0.8825 0.4213 0.8729
10 N 0.4213 0.8825 0.3729
11 N 0.5218 0.6841 0.8698
12 N 0.6841 0.5218 0.3698

energy	-6.728	eV per atom
raw formation energy	-0.861	eV per atom
ΔE to the lowest computed polymorph	0.038	eV per atom

=====

4.
DFT (PBE) results for a geometry-optimized PrGa4Ge structure.

Unit cell a=5.5822 b=5.5822 c=5.5822 alpha=60.00 beta=60.00 gamma=60.00
Fractional positions:
1 Pr 0.2500 0.2500 0.2500
2 Ge 0.0000 0.0000 0.0000
3 Ga 0.6259 0.6259 0.1223
4 Ga 0.6259 0.1223 0.6259
5 Ga 0.6259 0.6259 0.6259
6 Ga 0.1223 0.6259 0.6259

energy	-3.784	eV per atom